# 1
Density functional theory data (GGA-PBE) for a relaxed structure of HfSc2PaN4.

Calculated values
formation energy without anion corrections = -1.771 eV/atom
density of states at the Fermi level = 3.75 states/eV/f.u.
theoretical density = 9153 kg/m3
uncorrected energy = -9.947 eV per atom
crystal system = monoclinic

Cell and atoms, written as POSCAR:
```
HfSc2PaN4
1.0
3.284 0.000 0.000
0.000 5.727 0.123
0.000 -1.981 5.316
N Sc Pa Hf
4 2 1 1
Cartesian
1.642 2.846 4.104
0.000 3.866 1.464
0.000 -0.119 3.975
1.642 0.901 1.334
0.000 1.873 2.719
1.642 -0.990 2.658
1.642 2.864 0.061
0.000 0.000 0.000
```

# 2
Density functional theory data (GGA-PBE) for a relaxed structure of Rb2TlGe2Br7.

Calculated values
formation energy without anion corrections = -1.007 eV/atom
theoretical density = 4090 kg/m3
uncorrected energy = -3.111 eV per atom
crystal system = monoclinic

Cell and atoms, written as POSCAR:
```
Rb2TlGe2Br7
1.0
-1.272 -1.514 5.207
-1.654 -5.007 -1.791
11.697 -8.127 3.419
Br Tl Ge Rb
7 1 2 2
Cartesian
-1.463 -3.260 1.708
0.393 -5.015 4.699
0.200 -6.783 1.159
8.571 -7.865 5.676
3.760 -5.155 2.368
5.011 -9.493 4.466
8.377 -9.632 2.135
0.000 0.000 0.000
7.565 -10.479 4.819
1.205 -4.169 2.016
1.789 -8.314 4.053
6.981 -6.334 2.781
```